(1)
Entry from Alexandria: a relaxed structure of SrBi2Au (PBE).

Cell and atoms, written as POSCAR:
```
SrBi2Au
1.0
0.879 3.448 4.179
-2.898 -0.508 4.633
2.436 -1.800 4.577
Sr Bi Au
1 2 1
direct
0.000 0.000 0.000
0.250 0.250 0.250
0.750 0.750 0.750
0.500 0.500 0.500
```

* SG: Fm-3m (225)
* crystal system: cubic
* spin magnetization: 0.000 μB per cell
* calculated formation energy: -4.4 kcal/mol of atoms

***

(2)
Entry from Alexandria: a relaxed structure of Sr4Bi5Au2 (PBE).

Cell and atoms, written as POSCAR:
```
Sr4Bi5Au2
1.0
3.991 0.000 0.000
0.000 8.437 0.132
0.000 -0.652 10.545
Au Sr Bi
2 4 5
direct
0.000 0.072 0.627
0.000 0.928 0.373
0.500 0.816 0.128
0.500 0.184 0.872
0.500 0.245 0.432
0.500 0.755 0.568
0.000 0.830 0.840
0.000 0.500 0.000
0.000 0.170 0.160
0.000 0.435 0.685
0.000 0.565 0.315
```

* SG: P2/m (10)
* crystal system: monoclinic
* spin magnetization: 0.000 μB per cell
* calculated formation energy: -14.5 kcal/mol of atoms

***

(3)
Entry from Alexandria: a relaxed structure of SrBi4Au4 (PBE).

Cell and atoms, written as POSCAR:
```
SrBi4Au4
1.0
-2.468 -0.567 5.415
-5.559 -6.828 -3.249
6.493 -6.377 2.292
Bi Au Sr
8 8 2
direct
0.381 0.627 0.155
0.881 0.655 0.873
0.119 0.127 0.655
0.881 0.345 0.127
0.619 0.845 0.627
0.119 0.873 0.345
0.381 0.373 0.845
0.619 0.155 0.373
0.883 0.371 0.776
0.383 0.276 0.129
0.383 0.724 0.871
0.117 0.776 0.629
0.617 0.129 0.724
0.117 0.224 0.371
0.617 0.871 0.276
0.883 0.629 0.224
0.500 0.500 0.500
0.000 0.000 0.000
```

* SG: P4_2/n (86)
* crystal system: tetragonal
* spin magnetization: 0.000 μB per cell
* calculated formation energy: -4.5 kcal/mol of atoms

***

(4)
Entry from Alexandria: a relaxed structure of SrBi2Au (PBE).

Cell and atoms, written as POSCAR:
```
SrBi2Au
1.0
4.792 0.000 0.000
0.000 4.910 0.000
0.000 0.000 4.910
Bi Au Sr
2 1 1
direct
0.000 0.000 0.500
0.000 0.500 0.000
0.500 0.000 0.000
0.500 0.500 0.500
```

* SG: P4/mmm (123)
* crystal system: tetragonal
* spin magnetization: 0.000 μB per cell
* calculated formation energy: -9.4 kcal/mol of atoms

***

(5)
Entry from Alexandria: a relaxed structure of Sr3Bi3Au2 (PBE).

Cell and atoms, written as POSCAR:
```
Sr3Bi3Au2
1.0
-3.485 -1.572 -2.976
2.633 -4.967 3.484
-11.489 2.440 12.162
Bi Sr Au
6 6 4
direct
0.632 0.263 0.456
0.630 0.259 0.750
0.368 0.737 0.544
0.370 0.741 0.250
0.632 0.263 0.044
0.368 0.737 0.956
0.920 0.840 0.395
0.080 0.160 0.895
0.341 0.683 0.750
0.920 0.840 0.105
0.080 0.160 0.605
0.659 0.317 0.250
0.224 0.449 0.388
0.776 0.551 0.612
0.776 0.551 0.888
0.224 0.449 0.112
```

* SG: Cmcm (63)
* crystal system: orthorhombic
* spin magnetization: 0.000 μB per cell
* calculated formation energy: -16.4 kcal/mol of atoms

***

(6)
Entry from Alexandria: a relaxed structure of SrBi3Au3 (PBE).

Cell and atoms, written as POSCAR:
```
SrBi3Au3
1.0
-7.988 -2.415 2.538
-1.510 -8.254 2.382
-1.705 -2.095 7.629
Bi Au Sr
6 6 2
direct
0.907 0.605 0.270
0.783 0.093 0.730
0.395 0.783 0.730
0.217 0.907 0.270
0.093 0.395 0.730
0.605 0.217 0.270
0.082 0.728 0.747
0.558 0.918 0.253
0.442 0.082 0.747
0.918 0.272 0.253
0.272 0.558 0.253
0.728 0.442 0.747
0.332 0.332 0.003
0.668 0.668 0.997
```

* SG: R-3 (148)
* crystal system: trigonal
* E above lowest polymorph: 0.131 eV per atom
* spin magnetization: 0.000 μB per cell
* calculated formation energy: -5.7 kcal/mol of atoms

***

(7)
Entry from Alexandria: a relaxed structure of Sr2BiAu8 (PBE).

Cell and atoms, written as POSCAR:
```
Sr2BiAu8
1.0
0.835 -5.549 -0.264
4.994 -1.836 0.691
-4.459 3.015 9.147
Sr Au Bi
2 8 1
direct
0.655 0.655 0.309
0.345 0.345 0.691
0.737 0.700 0.747
0.990 0.952 0.253
0.746 0.246 0.493
0.263 0.300 0.253
0.186 0.653 0.000
0.010 0.048 0.747
0.814 0.347 0.000
0.254 0.754 0.507
0.500 0.000 0.000
```

* SG: C2/m (12)
* crystal system: monoclinic
* spin magnetization: 0.000 μB per cell
* calculated formation energy: -9.6 kcal/mol of atoms

***

(8)
Entry from Alexandria: a relaxed structure of SrBi2Au9 (PBE).

Cell and atoms, written as POSCAR:
```
SrBi2Au9
1.0
5.701 0.000 0.000
2.851 4.938 0.000
2.851 1.646 9.419
Au Bi Sr
9 2 1
direct
0.667 0.667 0.000
0.416 0.416 0.249
0.584 0.081 0.751
0.416 0.919 0.249
0.919 0.416 0.249
0.333 0.333 0.000
0.584 0.584 0.751
0.500 0.500 0.500
0.081 0.584 0.751
0.149 0.149 0.552
0.851 0.851 0.448
0.000 0.000 0.000
```

* SG: R-3m (166)
* crystal system: trigonal
* spin magnetization: 0.000 μB per cell
* calculated formation energy: -5.6 kcal/mol of atoms

***

(9)
Entry from Alexandria: a relaxed structure of SrBi2Au (PBE).

Cell and atoms, written as POSCAR:
```
SrBi2Au
1.0
4.383 0.000 0.000
2.192 3.796 0.000
2.192 1.265 9.650
Bi Au Sr
2 1 1
direct
0.120 0.120 0.640
0.880 0.880 0.360
0.500 0.500 0.500
0.000 0.000 0.000
```

* SG: R-3m (166)
* crystal system: trigonal
* spin magnetization: 0.000 μB per cell
* calculated formation energy: 0.8 kcal/mol of atoms

***

(10)
Entry from Alexandria: a relaxed structure of Sr3Bi2Au9 (PBE).

Cell and atoms, written as POSCAR:
```
Sr3Bi2Au9
1.0
4.768 0.000 0.000
2.384 8.783 0.549
2.384 2.526 8.430
Sr Au Bi
3 9 2
direct
0.287 0.713 0.713
0.713 0.287 0.287
0.000 0.000 0.000
0.857 0.855 0.431
0.857 0.431 0.855
0.000 0.500 0.500
0.143 0.569 0.145
0.663 0.973 0.701
0.337 0.027 0.299
0.143 0.145 0.569
0.337 0.299 0.027
0.663 0.701 0.973
0.500 0.692 0.308
0.500 0.308 0.692
```

* SG: Immm (71)
* crystal system: orthorhombic
* spin magnetization: 0.000 μB per cell
* calculated formation energy: -11.1 kcal/mol of atoms

***

(11)
Entry from Alexandria: a relaxed structure of Sr5Bi5Au2 (PBE).

Cell and atoms, written as POSCAR:
```
Sr5Bi5Au2
1.0
4.728 0.000 1.067
2.343 8.730 0.626
0.244 -0.393 9.929
Sr Bi Au
5 5 2
direct
0.302 0.307 0.089
0.376 0.928 0.319
0.000 0.500 0.500
0.698 0.693 0.911
0.624 0.072 0.681
0.935 0.310 0.820
0.717 0.220 0.347
0.000 0.000 0.000
0.065 0.690 0.180
0.283 0.780 0.653
0.394 0.468 0.744
0.606 0.532 0.256
```

* SG: C2/m (12)
* crystal system: monoclinic
* spin magnetization: 0.000 μB per cell
* calculated formation energy: -17.6 kcal/mol of atoms

***

(12)
Entry from Alexandria: a relaxed structure of SrBi3Au3 (PBE).

Cell and atoms, written as POSCAR:
```
SrBi3Au3
1.0
-5.939 -3.301 3.977
2.175 -7.092 -2.638
4.689 -0.892 6.262
Sr Bi Au
2 6 6
direct
0.500 0.500 0.500
0.000 0.000 0.000
0.000 0.500 0.750
0.500 0.750 0.000
0.000 0.500 0.250
0.250 0.000 0.500
0.500 0.250 0.000
0.750 0.000 0.500
0.000 0.250 0.500
0.250 0.500 0.000
0.500 0.000 0.250
0.000 0.750 0.500
0.750 0.500 0.000
0.500 0.000 0.750
```

* SG: Pm-3n (223)
* crystal system: cubic
* E above lowest polymorph: 0.292 eV per atom
* spin magnetization: 0.000 μB per cell
* calculated formation energy: -2.0 kcal/mol of atoms

***

(13)
Entry from Alexandria: a relaxed structure of SrBi3Au2 (PBE).

Cell and atoms, written as POSCAR:
```
SrBi3Au2
1.0
-2.126 4.074 -0.214
-4.793 -5.396 -5.674
-3.079 -1.164 8.454
Sr Au Bi
2 4 6
direct
0.113 0.226 0.046
0.887 0.774 0.954
0.249 0.498 0.892
0.496 0.991 0.839
0.751 0.502 0.108
0.504 0.009 0.161
0.686 0.371 0.381
0.647 0.295 0.747
0.949 0.898 0.620
0.353 0.705 0.253
0.051 0.102 0.380
0.314 0.629 0.619
```

* SG: C2/m (12)
* crystal system: monoclinic
* spin magnetization: 0.000 μB per cell
* calculated formation energy: -8.0 kcal/mol of atoms

***

(14)
Entry from Alexandria: a relaxed structure of Sr2BiAu3 (PBE).

Cell and atoms, written as POSCAR:
```
Sr2BiAu3
1.0
-3.216 3.937 -3.921
2.560 -4.003 -4.317
-6.455 -4.929 4.698
Sr Au Bi
4 6 2
direct
0.250 0.750 0.500
0.234 0.234 0.000
0.766 0.766 0.000
0.750 0.250 0.500
0.674 0.161 0.835
0.839 0.326 0.165
0.165 0.165 0.331
0.835 0.835 0.669
0.326 0.839 0.165
0.161 0.674 0.835
0.663 0.663 0.327
0.337 0.337 0.673
```

* SG: Fmmm (69)
* crystal system: orthorhombic
* spin magnetization: 0.000 μB per cell
* calculated formation energy: -16.4 kcal/mol of atoms

***

(15)
Entry from Alexandria: a relaxed structure of Sr3BiAu (PBE).

Cell and atoms, written as POSCAR:
```
Sr3BiAu
1.0
5.938 0.000 0.000
0.000 5.938 0.000
0.000 0.000 5.938
Sr Au Bi
3 1 1
direct
0.000 0.000 0.500
0.000 0.500 0.000
0.500 0.000 0.000
0.000 0.000 0.000
0.500 0.500 0.500
```

* SG: Pm-3m (221)
* crystal system: cubic
* E above lowest polymorph: 0.158 eV per atom
* spin magnetization: 0.000 μB per cell
* calculated formation energy: -11.4 kcal/mol of atoms

***

(16)
Entry from Alexandria: a relaxed structure of SrBi4Au2 (PBE).

Cell and atoms, written as POSCAR:
```
SrBi4Au2
1.0
4.488 0.000 0.000
0.000 9.660 0.000
0.000 0.000 9.660
Bi Au Sr
8 4 2
direct
0.000 0.917 0.685
0.000 0.315 0.083
0.500 0.417 0.815
0.500 0.583 0.185
0.500 0.815 0.417
0.000 0.083 0.315
0.000 0.685 0.917
0.500 0.185 0.583
0.500 0.301 0.301
0.000 0.199 0.801
0.000 0.801 0.199
0.500 0.699 0.699
0.000 0.500 0.500
0.500 0.000 0.000
```

* SG: P4_2/mnm (136)
* crystal system: tetragonal
* spin magnetization: 0.000 μB per cell
* calculated formation energy: -6.6 kcal/mol of atoms

***

(17)
Entry from Alexandria: a relaxed structure of Sr7Bi2Au2 (PBE).

Cell and atoms, written as POSCAR:
```
Sr7Bi2Au2
1.0
7.640 -0.003 -0.236
0.003 8.021 0.004
-0.711 -0.003 7.610
Sr Bi Au
7 2 2
direct
0.500 0.242 0.500
0.500 0.750 0.000
0.000 0.250 0.500
0.000 0.750 0.500
0.000 0.000 0.000
0.500 0.758 0.500
0.500 0.250 0.000
0.229 0.500 0.229
0.771 0.500 0.771
0.277 0.000 0.723
0.723 0.000 0.277
```

* SG: Cmmm (65)
* crystal system: orthorhombic
* spin magnetization: 0.000 μB per cell
* calculated formation energy: -12.8 kcal/mol of atoms

***

(18)
Entry from Alexandria: a relaxed structure of Sr2Bi3Au6 (PBE).

Cell and atoms, written as POSCAR:
```
Sr2Bi3Au6
1.0
4.236 0.000 0.000
0.000 8.458 1.188
0.000 2.109 8.277
Bi Sr Au
3 2 6
direct
0.500 0.000 0.000
0.000 0.242 0.242
0.000 0.758 0.758
0.000 0.708 0.292
0.000 0.292 0.708
0.500 0.361 0.959
0.500 0.605 0.605
0.500 0.041 0.639
0.500 0.959 0.361
0.500 0.639 0.041
0.500 0.395 0.395
```

* SG: Cmmm (65)
* crystal system: orthorhombic
* spin magnetization: 0.000 μB per cell
* calculated formation energy: -8.1 kcal/mol of atoms

***

(19)
Entry from Alexandria: a relaxed structure of Sr3Bi2Au (PBE).

Cell and atoms, written as POSCAR:
```
Sr3Bi2Au
1.0
-3.827 -1.573 -2.625
-0.537 -10.886 7.307
-8.230 6.035 8.385
Au Sr Bi
4 12 8
direct
0.750 0.634 0.370
0.750 0.866 0.870
0.250 0.366 0.630
0.250 0.134 0.130
0.250 0.127 0.555
0.250 0.373 0.055
0.750 0.300 0.777
0.750 0.948 0.123
0.250 0.800 0.723
0.250 0.052 0.877
0.750 0.627 0.945
0.750 0.552 0.623
0.250 0.700 0.223
0.750 0.200 0.277
0.750 0.873 0.445
0.250 0.448 0.377
0.750 0.313 0.510
0.250 0.500 0.811
0.250 0.000 0.311
0.250 0.687 0.490
0.250 0.813 0.990
0.750 0.000 0.689
0.750 0.187 0.010
0.750 0.500 0.189
```

* SG: Pnma (62)
* crystal system: orthorhombic
* spin magnetization: 2.832 μB per cell
* calculated formation energy: -18.5 kcal/mol of atoms

***

(20)
Entry from Alexandria: a relaxed structure of Sr2BiAu7 (PBE).

Cell and atoms, written as POSCAR:
```
Sr2BiAu7
1.0
-0.373 -4.163 1.079
2.471 -1.094 -3.366
10.735 0.997 7.556
Au Sr Bi
7 2 1
direct
0.000 0.500 0.640
0.500 0.500 0.500
0.000 0.000 0.000
0.500 0.000 0.360
0.000 0.500 0.844
0.500 0.000 0.156
0.000 0.000 0.500
0.000 0.500 0.268
0.500 0.000 0.732
0.500 0.500 0.000
```

* SG: P-4m2 (115)
* crystal system: tetragonal
* spin magnetization: 0.000 μB per cell
* calculated formation energy: -10.5 kcal/mol of atoms

***

(21)
Entry from Alexandria: a relaxed structure of Sr2Bi3Au2 (PBE).

Cell and atoms, written as POSCAR:
```
Sr2Bi3Au2
1.0
4.713 0.000 0.000
-2.356 5.841 -0.062
0.000 -2.768 7.634
Bi Sr Au
3 2 2
direct
0.617 0.233 0.447
0.383 0.767 0.553
0.500 0.000 0.000
0.860 0.720 0.206
0.140 0.280 0.794
0.835 0.670 0.783
0.165 0.330 0.217
```

* SG: C2/m (12)
* crystal system: monoclinic
* spin magnetization: 0.000 μB per cell
* calculated formation energy: -13.0 kcal/mol of atoms

***

Number 1: N(E_F) 0.72 states/eV/atom. Number 2: N(E_F) 0.36 states/eV/atom. Number 3: N(E_F) 0.25 states/eV/atom. Number 4: N(E_F) 0.54 states/eV/atom. Number 5: N(E_F) 0.43 states/eV/atom. Number 6: N(E_F) 0.33 states/eV/atom. Number 7: N(E_F) 0.35 states/eV/atom. Number 8: N(E_F) 0.34 states/eV/atom. Number 9: N(E_F) 0.92 states/eV/atom. Number 10: N(E_F) 0.43 states/eV/atom. Number 11: N(E_F) 0.31 states/eV/atom. Number 12: N(E_F) 0.55 states/eV/atom. Number 13: N(E_F) 0.57 states/eV/atom. Number 14: N(E_F) 0.26 states/eV/atom. Number 15: N(E_F) 1.35 states/eV/atom. Number 16: N(E_F) 0.44 states/eV/atom. Number 17: N(E_F) 0.60 states/eV/atom. Number 18: N(E_F) 0.57 states/eV/atom. Number 19: N(E_F) 0.43 states/eV/atom. Number 20: N(E_F) 0.32 states/eV/atom. Number 21: N(E_F) 0.35 states/eV/atom.